ZrCuBiS3 after structural relaxation, computed with PBE.

Geometry as CIF:
```
data_ZrCuBiS3
_cell_length_a 3.516
_cell_length_b 14.400
_cell_length_c 9.805
_cell_angle_alpha 90.00
_cell_angle_beta 90.00
_cell_angle_gamma 90.00
_space_group_name_H-M_alt 'C m c m'
_space_group_IT_number 63
_space_group_name_Hall '-C 2c 2'
loop_
_atom_site_label
_atom_site_type_symbol
_atom_site_fract_x
_atom_site_fract_y
_atom_site_fract_z
Zr1 Zr 0.000 0.000 0.000
Cu1 Cu 0.000 0.441 0.250
Bi1 Bi 0.000 0.273 0.750
S1 S 0.000 0.057 0.250
S2 S 0.000 0.370 0.039
```

Values from the calculation:
Electronic total energy ... -0.402 Ry per atom